Density functional theory data (GGA-PBEsol) for a relaxed Zr2PAu crystal.

abc: 3.3706 4.4318 9.6126
angles: 90.00 90.00 90.00
Positions (direct):
1 Zr 0.0000 0.0000 0.0000
2 Zr 0.0000 0.5000 0.2184
3 Zr 0.5000 0.0000 0.7184
4 Zr 0.5000 0.5000 0.5000
5 P 0.0000 0.5000 0.7213
6 P 0.5000 0.0000 0.2213
7 Au 0.0000 0.0000 0.4388
8 Au 0.5000 0.5000 0.9388

=====

Density functional theory data (GGA-PBEsol) for a relaxed Zr2PAu crystal.

abc: 4.4226 4.4226 7.3381
angles: 90.00 90.00 90.00
Positions (direct):
1 Zr 0.0000 0.5000 0.2500
2 Zr 0.0000 0.5000 0.7500
3 Zr 0.5000 0.0000 0.2500
4 Zr 0.5000 0.0000 0.7500
5 P 0.0000 0.0000 0.0000
6 P 0.5000 0.5000 0.5000
7 Au 0.0000 0.0000 0.5000
8 Au 0.5000 0.5000 0.0000

=====

Density functional theory data (GGA-PBEsol) for a relaxed Zr2PAu crystal.

abc: 3.7408 3.7514 10.4314
angles: 90.00 90.00 90.00
Positions (direct):
1 Zr 0.0000 0.0000 0.0000
2 Zr 0.0000 0.5000 0.5000
3 Zr 0.5000 0.0000 0.3089
4 Zr 0.5000 0.5000 0.8089
5 P 0.0000 0.0000 0.7462
6 P 0.0000 0.5000 0.2462
7 Au 0.5000 0.0000 0.5843
8 Au 0.5000 0.5000 0.0843

=====

Density functional theory data (GGA-PBEsol) for a relaxed Zr2PAu crystal.

abc: 3.6036 3.6036 20.6844
angles: 90.00 90.00 120.00
Positions (direct):
1 Zr 0.0000 0.0000 0.2379
2 Zr 0.0000 0.0000 0.7621
3 Zr 0.3333 0.6667 0.4288
4 Zr 0.3333 0.6667 0.9046
5 Zr 0.6667 0.3333 0.0954
6 Zr 0.6667 0.3333 0.5712
7 P 0.0000 0.0000 0.5000
8 P 0.3333 0.6667 0.1667
9 P 0.6667 0.3333 0.8333
10 Au 0.0000 0.0000 0.0000
11 Au 0.3333 0.6667 0.6667
12 Au 0.6667 0.3333 0.3333

=====

Density functional theory data (GGA-PBEsol) for a relaxed PbAu5 crystal.

abc: 5.4848 5.4848 5.4848
angles: 60.00 60.00 60.00
Positions (direct):
1 Pb 0.0000 0.0000 0.0000
2 Au 0.3755 0.3755 0.3755
3 Au 0.3755 0.3755 0.8736
4 Au 0.3755 0.8736 0.3755
5 Au 0.7500 0.7500 0.7500
6 Au 0.8736 0.3755 0.3755

=====

Density functional theory data (GGA-PBEsol) for a relaxed Pb5Au24 crystal.

abc: 8.9301 8.9301 8.9301
angles: 109.47 109.47 109.47
Positions (direct):
1 Pb 0.0000 0.0000 0.0000
2 Pb 0.0000 0.0000 0.6358
3 Pb 0.0000 0.6358 0.0000
4 Pb 0.3642 0.3642 0.3642
5 Pb 0.6358 0.0000 0.0000
6 Au 0.0000 0.1916 0.3861
7 Au 0.0000 0.3861 0.1916
8 Au 0.0000 0.4194 0.6823
9 Au 0.0000 0.6823 0.4194
10 Au 0.1916 0.0000 0.3861
11 Au 0.1916 0.3861 0.0000
12 Au 0.1946 0.8084 0.8084
13 Au 0.2629 0.5806 0.5806
14 Au 0.3177 0.3177 0.7371
15 Au 0.3177 0.7371 0.3177
16 Au 0.3861 0.0000 0.1916
17 Au 0.3861 0.1916 0.0000
18 Au 0.4194 0.0000 0.6823
19 Au 0.4194 0.6823 0.0000
20 Au 0.5806 0.2629 0.5806
21 Au 0.5806 0.5806 0.2629
22 Au 0.6139 0.6139 0.8054
23 Au 0.6139 0.8054 0.6139
24 Au 0.6823 0.0000 0.4194
25 Au 0.6823 0.4194 0.0000
26 Au 0.7371 0.3177 0.3177
27 Au 0.8054 0.6139 0.6139
28 Au 0.8084 0.1946 0.8084
29 Au 0.8084 0.8084 0.1946

=====

Density functional theory data (GGA-PBEsol) for a relaxed Pb3Au crystal.

abc: 8.5522 10.9073 4.5389
angles: 90.00 90.00 90.00
Positions (direct):
1 Pb 0.0000 0.1149 0.2500
2 Pb 0.0000 0.8851 0.7500
3 Pb 0.2037 0.3802 0.2500
4 Pb 0.2037 0.6198 0.7500
5 Pb 0.2963 0.1198 0.7500
6 Pb 0.2963 0.8802 0.2500
7 Pb 0.5000 0.3851 0.7500
8 Pb 0.5000 0.6149 0.2500
9 Pb 0.7037 0.1198 0.7500
10 Pb 0.7037 0.8802 0.2500
11 Pb 0.7963 0.3802 0.2500
12 Pb 0.7963 0.6198 0.7500
13 Au 0.0000 0.2976 0.7500
14 Au 0.0000 0.7024 0.2500
15 Au 0.5000 0.2024 0.2500
16 Au 0.5000 0.7976 0.7500

=====

Density functional theory data (GGA-PBEsol) for a relaxed Pb3Au2 crystal.

abc: 3.8383 3.8383 30.1648
angles: 90.00 90.00 120.00
Positions (direct):
1 Pb 0.0000 0.0000 0.0000
2 Pb 0.0000 0.0000 0.2090
3 Pb 0.0000 0.0000 0.7910
4 Pb 0.3333 0.6667 0.4576
5 Pb 0.3333 0.6667 0.6667
6 Pb 0.3333 0.6667 0.8757
7 Pb 0.6667 0.3333 0.1243
8 Pb 0.6667 0.3333 0.3333
9 Pb 0.6667 0.3333 0.5424
10 Au 0.0000 0.0000 0.3969
11 Au 0.0000 0.0000 0.6031
12 Au 0.3333 0.6667 0.0636
13 Au 0.3333 0.6667 0.2698
14 Au 0.6667 0.3333 0.7302
15 Au 0.6667 0.3333 0.9364

=====

Density functional theory data (GGA-PBEsol) for a relaxed Pb3Au crystal.

abc: 3.5265 3.5265 9.9750
angles: 90.00 90.00 120.00
Positions (direct):
1 Pb 0.0000 0.0000 0.0000
2 Pb 0.3333 0.6667 0.2866
3 Pb 0.3333 0.6667 0.7134
4 Au 0.0000 0.0000 0.5000

=====

Density functional theory data (GGA-PBEsol) for a relaxed PbAu5 crystal.

abc: 3.3579 3.3579 10.0245
angles: 90.00 90.00 90.00
Positions (direct):
1 Pb 0.0000 0.0000 0.0000
2 Au 0.0000 0.0000 0.3497
3 Au 0.0000 0.0000 0.6503
4 Au 0.5000 0.5000 0.1988
5 Au 0.5000 0.5000 0.5000
6 Au 0.5000 0.5000 0.8012

=====

Density functional theory data (GGA-PBEsol) for a relaxed Pb3Au crystal.

abc: 3.4486 3.4486 8.7927
angles: 90.00 90.00 90.00
Positions (direct):
1 Pb 0.0000 0.0000 0.0000
2 Pb 0.5000 0.5000 0.2904
3 Pb 0.5000 0.5000 0.7096
4 Au 0.0000 0.0000 0.5000

=====

Density functional theory data (GGA-PBEsol) for a relaxed Pb4Au crystal.

abc: 8.7294 8.7294 3.5322
angles: 90.00 90.00 90.00
Positions (direct):
1 Pb 0.0793 0.7283 0.0000
2 Pb 0.2283 0.4207 0.5000
3 Pb 0.2717 0.0793 0.0000
4 Pb 0.4207 0.7717 0.5000
5 Pb 0.5793 0.2283 0.5000
6 Pb 0.7283 0.9207 0.0000
7 Pb 0.7717 0.5793 0.5000
8 Pb 0.9207 0.2717 0.0000
9 Au 0.0000 0.0000 0.5000
10 Au 0.5000 0.5000 0.0000

=====

| no. | E (eV/atom) | energy relative to the elements (eV/atom) |
| --- | --- | --- |
| 1 | -7.6250 | -0.651 |
| 2 | -7.6680 | -0.694 |
| 3 | -7.8838 | -0.910 |
| 4 | -7.9279 | -0.954 |
| 5 | -3.8512 | 0.085 |
| 6 | -3.8867 | 0.050 |
| 7 | -3.9931 | -0.013 |
| 8 | -3.9552 | 0.014 |
| 9 | -3.9576 | 0.022 |
| 10 | -3.9026 | 0.034 |
| 11 | -4.0006 | -0.021 |
| 12 | -3.9939 | -0.010 |